# 1
# Li3I2Cl

A relaxed Li3I2Cl crystal (PBE-GGA, the Alexandria database).

Structure (POSCAR):
```
Li3I2Cl
1.0
6.4902 0.0000 0.0000
-3.2451 7.3638 0.0000
0.0000 0.0000 13.7266
Li I Cl
12 8 4
Direct
0.5570 0.6140 0.7500 Li
0.9430 0.3860 0.2500 Li
0.5869 0.1738 0.8558 Li
0.8952 0.7904 0.9392 Li
0.1048 0.2096 0.0608 Li
0.9131 0.8262 0.3558 Li
0.6048 0.2096 0.4392 Li
0.3952 0.7904 0.5608 Li
0.0869 0.1738 0.6442 Li
0.4131 0.8262 0.1442 Li
0.0570 0.6140 0.7500 Li
0.4430 0.3860 0.2500 Li
0.5754 0.1509 0.6367 I
0.6020 0.2041 0.1084 I
0.0754 0.1509 0.8633 I
0.8980 0.7959 0.6084 I
0.9246 0.8491 0.1367 I
0.4246 0.8491 0.3633 I
0.1020 0.2041 0.3916 I
0.3980 0.7959 0.8916 I
0.7524 0.5047 0.8572 Cl
0.7476 0.4953 0.3572 Cl
0.2524 0.5047 0.6428 Cl
0.2476 0.4953 0.1428 Cl
```

Values from the calculation:
polymorph energy (0 for the lowest one)	4.4	kJ per mole of atoms
E	-18.82	eV per formula unit
ρ	3.14	g/cm³
formation energy (no corrections)	-1.356	eV per atom
space-group type	No. 64

---

# 2
# Ho4SbPd2

A relaxed Ho4SbPd2 crystal (PBE-GGA, the Alexandria database).

Structure (POSCAR):
```
Ho4SbPd2
1.0
7.4344 -1.3297 -0.1143
-1.7239 8.1955 0.1653
-2.7037 -3.5274 6.3908
Ho Sb Pd
8 2 4
Direct
0.8932 0.2618 0.2801 Ho
0.3143 0.5342 0.1439 Ho
0.9608 0.5987 0.7324 Ho
0.7741 0.1294 0.7245 Ho
0.3808 0.0212 0.2839 Ho
0.3465 0.1392 0.8489 Ho
0.5024 0.7022 0.8375 Ho
0.8294 0.6148 0.1519 Ho
0.2532 0.7546 0.5080 Sb
0.9946 0.9956 0.9913 Sb
0.5634 0.3639 0.6987 Pd
0.7063 0.9111 0.2973 Pd
0.5914 0.3948 0.3108 Pd
0.1396 0.3286 0.6908 Pd
```

Values from the calculation:
E	-37.62	eV per formula unit
ρ	8.77	g/cm³
formation energy (no corrections)	-0.687	eV per atom
space-group type	No. 1

---

# 3
# NaTl2Au2

A relaxed NaTl2Au2 crystal (PBE-GGA, the Alexandria database).

Structure (POSCAR):
```
NaTl2Au2
1.0
-5.3063 -6.3929 1.5455
0.5766 -2.4302 -8.0732
2.7275 -2.0664 0.8168
Na Tl Au
2 4 4
Direct
0.0000 0.0000 0.0000 Na
0.5000 0.5000 0.0000 Na
0.3633 0.8633 0.0000 Tl
0.8633 0.6367 0.0000 Tl
0.6367 0.1367 0.0000 Tl
0.1367 0.3633 0.0000 Tl
0.1654 0.6654 0.5000 Au
0.6654 0.8346 0.5000 Au
0.8346 0.3346 0.5000 Au
0.3346 0.1654 0.5000 Au
```

Values from the calculation:
polymorph energy (0 for the lowest one)	6.8	kJ per mole of atoms
E	-12.97	eV per formula unit
ρ	10.91	g/cm³
energy of formation	-0.07	eV per atom
space-group type	No. 127

---

# 4
# Sr3HoTm3S8

A relaxed Sr3HoTm3S8 crystal (PBE-GGA, the Alexandria database).

Structure (POSCAR):
```
Sr3HoTm3S8
1.0
-6.5462 3.7079 2.4624
5.2384 -2.7010 5.2790
1.9923 6.5417 -4.5577
Sr Ho Tm S
3 1 3 8
Direct
0.0000 0.0000 0.0000 Sr
0.0000 0.5000 0.0000 Sr
0.5000 0.5000 0.0000 Sr
0.0000 0.0000 0.5000 Ho
0.5000 0.0000 0.5000 Tm
0.5000 0.5000 0.5000 Tm
0.0000 0.5000 0.5000 Tm
0.2585 0.5170 0.2755 S
0.7415 0.4830 0.7245 S
0.7586 0.5172 0.2788 S
0.2414 0.4828 0.7212 S
0.7584 0.0203 0.2786 S
0.2416 0.9797 0.7214 S
0.2616 0.0202 0.2787 S
0.7384 0.9798 0.7213 S
```

Values from the calculation:
E	-87.19	eV per formula unit
ρ	5.34	g/cm³
formation energy (no corrections)	-2.076	eV per atom
space-group type	No. 166

---

# 5
# TaCoNi2Sb

A relaxed TaCoNi2Sb crystal (PBE-GGA, the Alexandria database).

Structure (POSCAR):
```
TaCoNi2Sb
1.0
-0.0633 -4.1947 0.8403
4.5974 -0.0685 0.0043
0.0086 0.8402 4.1952
Sb Co Ni Ta
1 1 2 1
Direct
0.0000 0.5000 0.0000 Sb
0.0000 0.0000 0.0000 Co
0.0000 0.0000 0.5000 Ni
0.5000 0.0000 0.0000 Ni
0.5000 0.5000 0.5000 Ta
```

Values from the calculation:
E	-30.18	eV per formula unit
ρ	9.45	g/cm³
formation energy (no corrections)	0.893	eV per atom
space-group type	No. 123

---

# 6
# CrRuSe2

A relaxed CrRuSe2 crystal (PBE-GGA, the Alexandria database).

Structure (POSCAR):
```
CrRuSe2
1.0
2.9878 0.0000 0.0000
0.0000 2.9878 0.0000
0.0000 0.0000 8.1728
Cr Ru Se
1 1 2
Direct
0.0000 0.0000 0.5014 Cr
0.5000 0.5000 0.7444 Ru
0.0000 0.0000 0.9096 Se
0.5000 0.5000 0.3445 Se
```

Values from the calculation:
polymorph energy (0 for the lowest one)	21.2	kJ per mole of atoms
E	-26.08	eV per formula unit
ρ	7.08	g/cm³
formation energy (no corrections)	-0.052	eV per atom
space-group type	No. 99

---

# 7
# Ag2Te3Au

A relaxed Ag2Te3Au crystal (PBE-GGA, the Alexandria database).

Structure (POSCAR):
```
Ag2Te3Au
1.0
-5.0460 2.8340 0.7628
-4.0258 -7.2307 0.2326
4.3161 0.1388 5.7007
Ag Te Au
4 6 2
Direct
0.6675 0.5830 0.3328 Ag
0.6653 0.0830 0.3328 Ag
0.3347 0.9170 0.6672 Ag
0.3325 0.4170 0.6672 Ag
0.5007 0.2500 0.0000 Te
0.4993 0.7500 0.0000 Te
0.1599 0.0810 0.3215 Te
0.8383 0.4190 0.6785 Te
0.1617 0.5810 0.3215 Te
0.8401 0.9190 0.6785 Te
0.9993 0.7500 0.0000 Au
0.0007 0.2500 0.0000 Au
```

Values from the calculation:
E	-18.47	eV per formula unit
ρ	8.82	g/cm³
formation energy (no corrections)	-0.010	eV per atom
space-group type	No. 15

---

# 8
# Re3RuSe

A relaxed Re3RuSe crystal (PBE-GGA, the Alexandria database).

Structure (POSCAR):
```
Re3RuSe
1.0
-0.2157 2.3766 -4.0318
-2.8072 -3.2952 -1.7922
-3.7448 2.3333 1.5757
Re Se Ru
3 1 1
Direct
0.0000 0.5000 0.0000 Re
0.0000 0.0000 0.5000 Re
0.5000 0.0000 0.0000 Re
0.5000 0.5000 0.5000 Se
0.0000 0.0000 0.0000 Ru
```

Values from the calculation:
polymorph energy (0 for the lowest one)	36.7	kJ per mole of atoms
E	-38.54	eV per formula unit
ρ	11.93	g/cm³
formation energy (no corrections)	2.313	eV per atom
space-group type	No. 221